! PBE+U Tl2CuNiF6, relaxed; values from VASP
&SYSTEM
  ibrav = 0, nat = 20, ntyp = 4
/
ATOMIC_SPECIES
Tl 204.38 Tl.upf
Cu 63.55 Cu.upf
Ni 58.69 Ni.upf
F 19.00 F.upf
ATOMIC_POSITIONS crystal
Tl 0.127 0.127 0.127
Tl 0.286 0.286 0.286
Tl 0.714 0.714 0.714
Tl 0.873 0.873 0.873
Cu 0.407 0.407 0.407
Cu 0.593 0.593 0.593
Ni 0.000 0.000 0.000
Ni 0.500 0.500 0.500
F 0.157 0.605 0.605
F 0.203 0.203 0.714
F 0.203 0.714 0.203
F 0.286 0.797 0.797
F 0.395 0.395 0.843
F 0.395 0.843 0.395
F 0.605 0.157 0.605
F 0.605 0.605 0.157
F 0.714 0.203 0.203
F 0.797 0.286 0.797
F 0.797 0.797 0.286
F 0.843 0.395 0.395
CELL_PARAMETERS angstrom
2.991 1.727 9.856
-2.991 1.727 9.856
0.000 -3.454 9.856
! N(E_F): 12.11 states/eV per cell
! energy: -4.07 eV per atom
! space group: R-3m (166)